(1)
## NaZr3Si (GGA-PBE)

Data for an optimized crystal structure of NaZr3Si.

The total magnetization is 0.0 μB/f.u. The energy relative to the lowest polymorph listed for this composition is 0.000 eV/atom. Its uncorrected formation energy is 0.36 eV/atom. As for the volume: 131.3 Å³/f.u.

a = 5.0832 Å, b = 5.0832 Å, c = 5.0832 Å
α = 90.00°, β = 90.00°, γ = 90.00°
Last column: nearest neighbours and their distance in Å.
Sites, in units of the cell vectors:
Na 0.0000 0.0000 0.0000  12 Zr 3.59
Zr 0.0000 0.5000 0.5000  2 Si 2.54
Zr 0.5000 0.0000 0.5000  2 Si 2.54
Zr 0.5000 0.5000 0.0000  2 Si 2.54
Si 0.5000 0.5000 0.5000  6 Zr 2.54

***

(2)
## Mg3Ge (GGA-PBE)

Data for an optimized crystal structure of Mg3Ge.

The total magnetization is 0.0 μB/f.u. The formation energy from the elements comes out at -0.020 eV per atom. As for the volume: 83.9 Å³/f.u.

a = 6.0143 Å, b = 6.0143 Å, c = 6.0143 Å
α = 150.80°, β = 61.56°, γ = 127.10°
Last column: nearest neighbours and their distance in Å.
Sites, in units of the cell vectors:
Mg 0.0000 0.0000 0.0000  4 Ge 2.98-3.18, 8 Mg 3.03-3.20
Mg 0.4081 0.6464 0.7618  3 Ge 3.03-3.24, 9 Mg 3.03-3.20
Mg 0.8846 0.6464 0.2382  3 Ge 3.03-3.24, 9 Mg 3.03-3.20
Ge 0.4789 0.9789 0.5000  10 Mg 2.98-3.24, 2 Ge 3.03

***

(3)
## Tb7Rh2Pb2 (GGA-PBE)

Data for an optimized crystal structure of Tb7Rh2Pb2.

The total magnetization is 0.0 μB/f.u. The formation energy from the elements comes out at -0.428 eV per atom. As for the volume: 327.8 Å³/f.u.

a = 6.8722 Å, b = 6.8722 Å, c = 7.2195 Å
α = 90.00°, β = 90.00°, γ = 105.97°
Last column: nearest neighbours and their distance in Å.
Sites, in units of the cell vectors:
Tb 0.0000 0.0000 0.0000  2 Rh 3.11
Tb 0.0000 0.5000 0.2439  2 Rh 2.74
Tb 0.0000 0.5000 0.7561  2 Rh 2.74
Tb 0.5000 0.0000 0.2439  2 Rh 2.74
Tb 0.5000 0.0000 0.7561  2 Rh 2.74
Tb 0.5000 0.5000 0.2308  2 Rh 2.90, 2 Pb 3.23
Tb 0.5000 0.5000 0.7692  2 Rh 2.90, 2 Pb 3.23
Rh 0.2838 0.7162 0.0000  6 Tb 2.74-2.90
Rh 0.7162 0.2838 0.0000  6 Tb 2.74-2.90
Pb 0.1884 0.1884 0.5000  1 Pb 3.12, 6 Tb 3.23-3.35
Pb 0.8116 0.8116 0.5000  1 Pb 3.12, 6 Tb 3.23-3.35

***

(4)
## CsPH2C (GGA-PBE)

Data for an optimized crystal structure of CsPH2C.

The total magnetization is 0.0 μB/f.u. The energy relative to the lowest polymorph listed for this composition is 0.143 eV/atom. As for the volume: 117.1 Å³/f.u.

a = 4.9328 Å, b = 4.9328 Å, c = 5.6015 Å
α = 101.84°, β = 101.84°, γ = 62.26°
Last column: nearest neighbours and their distance in Å.
Sites, in units of the cell vectors:
Cs 0.0000 0.0000 0.0000  3 H 3.19-3.41, 3 C 3.41-3.42
P 0.5828 0.5828 0.5320  1 H 1.46
H 0.3078 0.3078 0.4583  1 C 1.12
H 0.6891 0.6891 0.3622  1 P 1.46
C 0.3957 0.3957 0.3378  1 H 1.12

***

(5)
## ReAg (GGA-PBE)

Data for an optimized crystal structure of ReAg.

The total magnetization is 0.0 μB/f.u. The energy relative to the lowest polymorph listed for this composition is 1.002 eV/atom. The formation energy from the elements comes out at 1.248 eV per atom. As for the volume: 31.9 Å³/f.u.

a = 3.1716 Å, b = 3.1716 Å, c = 3.1716 Å
α = 90.00°, β = 90.00°, γ = 90.00°
Last column: nearest neighbours and their distance in Å.
Sites, in units of the cell vectors:
Re 0.0000 0.0000 0.0000  8 Ag 2.75
Ag 0.5000 0.5000 0.5000  8 Re 2.75

***

(6)
## Hg2C (GGA-PBE)

Data for an optimized crystal structure of Hg2C.

The total magnetization is 0.0 μB/f.u. The energy relative to the lowest polymorph listed for this composition is 1.147 eV/atom. The formation energy from the elements comes out at 1.618 eV per atom. As for the volume: 56.4 Å³/f.u.

a = 4.3047 Å, b = 4.3047 Å, c = 4.3047 Å
α = 60.00°, β = 60.00°, γ = 60.00°
Last column: nearest neighbours and their distance in Å.
Sites, in units of the cell vectors:
Hg 0.2500 0.2500 0.2500  4 C 2.64
Hg 0.7500 0.7500 0.7500  4 C 2.64
C 0.0000 0.0000 0.0000  8 Hg 2.64